Record 1
Compound: CdSbIr2
Source: Alexandria via LeMat-Bulk
Functional: PBE
Structure: optimized geometry

abc: 4.7924 4.7924 4.7924
angles: 126.10 126.06 79.76
Positions (direct):
Sb1 0.7500 0.2500 0.5000
Ir1 0.9998 0.9998 0.0000
Ir2 0.5002 0.5002 0.0000
Cd1 0.2500 0.7500 0.5000

Output
Total DFT energy (no corrections) = -22.1 eV for the cell shown
Formation energy (no corrections) = 0.160 eV per atom
Space-group type = I4/mmm, No. 139
Total moment = 0.000 μB/f.u.
Energy above the lowest structure with this stoichiometry = 0 meV per atom

Record 2
Compound: Ba8As3AuI4
Source: Alexandria via LeMat-Bulk
Functional: PBE
Structure: optimized geometry

abc: 9.7113 10.1155 9.7124
angles: 118.69 120.00 90.00
Site moments in Bohr magnetons follow the coordinates.
Positions (direct):
Ba1 0.2383 0.7074 0.9690  0.07
Ba2 0.2385 0.7076 0.4770  0.07
Ba3 0.2650 0.2950 0.5300  0.01
Ba4 0.7308 0.7074 0.9690  0.07
Ba5 0.2692 0.2926 0.0310  0.07
Ba6 0.7350 0.7050 0.4700  0.01
Ba7 0.7615 0.2924 0.5230  0.07
Ba8 0.7617 0.2926 0.0310  0.07
As1 0.5000 0.5000 0.0000  0.00
As2 0.5000 0.5000 0.5000  0.00
As3 0.0000 0.5000 0.5000  0.00
Au1 0.0000 0.5000 0.0000  0.08
I1 0.5000 0.0000 0.0000  0.00
I2 0.5000 0.0000 0.5000  0.00
I3 0.0000 0.0000 0.0000  0.00
I4 0.0000 0.0000 0.5000  0.00

Output
Total DFT energy (no corrections) = -60.2 eV for the cell shown
Formation energy (no corrections) = -1.340 eV per atom
Space-group type = R-3m, No. 166
Total moment = 2.054 μB/f.u.

Record 3
Compound: Pm2MgIn2Rh5
Source: Alexandria via LeMat-Bulk
Functional: PBE
Structure: optimized geometry

abc: 3.6711 10.3035 10.3035
angles: 90.00 90.00 90.00
Positions (direct):
Pm1 0.0000 0.6694 0.1694
Pm2 0.0000 0.3306 0.8306
Pm3 0.0000 0.1694 0.3306
Pm4 0.0000 0.8306 0.6694
Mg1 0.0000 0.0000 0.0000
Mg2 0.0000 0.5000 0.5000
In1 0.0000 0.1301 0.6301
In2 0.0000 0.8699 0.3699
In3 0.0000 0.6301 0.8699
In4 0.0000 0.3699 0.1301
Rh1 0.5000 0.1968 0.0544
Rh2 0.5000 0.8032 0.9456
Rh3 0.5000 0.0544 0.8032
Rh4 0.5000 0.6968 0.4456
Rh5 0.5000 0.9456 0.1968
Rh6 0.5000 0.3032 0.5544
Rh7 0.5000 0.5544 0.6968
Rh8 0.5000 0.4456 0.3032
Rh9 0.5000 0.5000 0.0000
Rh10 0.5000 0.0000 0.5000

Output
Total DFT energy (no corrections) = -114.9 eV for the cell shown
Space-group type = P4/mbm, No. 127
Total moment = 0.000 μB/f.u.
Energy of formation = -412.9 meV/atom

Record 4
Compound: MgTa2Au
Source: Alexandria via LeMat-Bulk
Functional: PBE
Structure: optimized geometry

abc: 5.7191 5.7191 2.8680
angles: 80.17 80.17 123.61
Positions (direct):
Au1 0.5000 0.0000 0.5000
Mg1 0.0000 0.5000 0.5000
Ta1 0.0000 0.0000 0.0000
Ta2 0.5000 0.5000 0.0000

Output
Total DFT energy (no corrections) = -28.1 eV for the cell shown
Space-group type = C2/m, No. 12
Total moment = 0.000 μB/f.u.
Energy of formation = 125.1 meV/atom

Record 5
Compound: YMgTlPb
Source: Alexandria via LeMat-Bulk
Functional: PBE
Structure: optimized geometry

abc: 5.3410 5.3410 5.3410
angles: 60.00 60.00 60.00
Positions (direct):
Pb1 0.5000 0.5000 0.5000
Y1 0.7500 0.7500 0.7500
Tl1 0.0000 0.0000 0.0000
Mg1 0.2500 0.2500 0.2500

Output
Total DFT energy (no corrections) = -14.9 eV for the cell shown
Space-group type = F-43m, No. 216
Total moment = 0.000 μB/f.u.
Energy of formation = -196.3 meV/atom
Energy above the lowest structure with this stoichiometry = 125 meV per atom

Record 6
Compound: MgSc2BeC
Source: Alexandria via LeMat-Bulk
Functional: PBE
Structure: optimized geometry

abc: 4.6513 4.6513 3.6686
angles: 90.00 90.00 90.00
Positions (direct):
Sc1 0.0000 0.5000 0.0000
Sc2 0.5000 0.0000 0.0000
Be1 0.0000 0.0000 0.5000
Mg1 0.5000 0.5000 0.5000
C1 0.0000 0.0000 0.0000

Output
Total DFT energy (no corrections) = -27.8 eV for the cell shown
Space-group type = P4/mmm, No. 123
Total moment = 0.000 μB/f.u.
Energy of formation = -111.2 meV/atom

Record 7
Compound: Al2Pt3
Source: Alexandria via LeMat-Bulk
Functional: PBE
Structure: optimized geometry

abc: 4.1913 4.1913 5.2243
angles: 90.00 90.00 120.00
Positions (direct):
Al1 0.6667 0.3333 0.1851
Al2 0.3333 0.6667 0.8149
Pt1 0.0000 0.0000 0.0000
Pt2 0.6667 0.3333 0.6694
Pt3 0.3333 0.6667 0.3306

Output
Total DFT energy (no corrections) = -30.0 eV for the cell shown
Space-group type = P-3m1, No. 164
Total moment = 0.000 μB/f.u.
Energy of formation = -877.2 meV/atom
Energy above the lowest structure with this stoichiometry = 4 meV per atom

Record 8
Compound: Tm4GaGe2
Source: Alexandria via LeMat-Bulk
Functional: PBE
Structure: optimized geometry

abc: 7.5682 7.5680 7.5616
angles: 109.41 109.42 109.61
Positions (direct):
Tm1 0.0096 0.2605 0.3867
Tm2 0.3762 0.4896 0.2494
Tm3 0.8739 0.6231 0.6134
Tm4 0.7396 0.1263 0.7494
Tm5 0.3769 0.9902 0.2506
Tm6 0.2404 0.1270 0.7507
Tm7 0.5105 0.7596 0.8866
Tm8 0.8730 0.6238 0.1133
Ga1 0.2499 0.7500 0.5000
Ga2 0.9999 0.0000 0.0000
Ge1 0.4973 0.3750 0.6222
Ge2 0.7527 0.8749 0.3777
Ge3 0.6251 0.2473 0.1223
Ge4 0.1250 0.5027 0.8777

Output
Total DFT energy (no corrections) = -70.0 eV for the cell shown
Space-group type = I-42d, No. 122
Total moment = 0.000 μB/f.u.
Energy of formation = -693.7 meV/atom

Record 9
Compound: SrCrCl2
Source: Alexandria via LeMat-Bulk
Functional: PBE
Structure: optimized geometry

abc: 4.9196 4.9196 3.9889
angles: 90.00 90.00 90.00
Site moments in Bohr magnetons follow the coordinates.
Positions (direct):
Sr1 0.0000 0.5000 0.5000  0.07
Cl1 0.0000 0.0000 0.0000  0.04
Cl2 0.5000 0.5000 0.0000  0.04
Cr1 0.5000 0.0000 0.5000  4.38

Output
Total DFT energy (no corrections) = -18.1 eV for the cell shown
Formation energy (no corrections) = -0.784 eV per atom
Space-group type = P4/mmm, No. 123
Total moment = 5.535 μB/f.u.
Energy above the lowest structure with this stoichiometry = 135 meV per atom

Record 10
Compound: K2FeNi
Source: Alexandria via LeMat-Bulk
Functional: PBE
Structure: optimized geometry

abc: 5.5526 5.5526 5.5526
angles: 60.00 60.00 60.00
Site moments in Bohr magnetons follow the coordinates.
Positions (direct):
Ni1 0.5000 0.5000 0.5000  0.76
K1 0.2500 0.2500 0.2500  -0.01
K2 0.7500 0.7500 0.7500  -0.01
Fe1 0.0000 0.0000 0.0000  3.21

Output
Total DFT energy (no corrections) = -11.4 eV for the cell shown
Space-group type = Fm-3m, No. 225
Total moment = 3.962 μB/f.u.
Energy of formation = 1270.6 meV/atom
Energy above the lowest structure with this stoichiometry = 698 meV per atom

Record 11
Compound: NpTl2TcO6
Source: Alexandria via LeMat-Bulk
Functional: PBE
Structure: optimized geometry

abc: 5.7765 5.7786 6.8814
angles: 65.17 65.18 90.00
Site moments in Bohr magnetons follow the coordinates.
Positions (direct):
Np1 0.0000 0.0000 0.0000  1.61
Tl1 0.7502 0.2502 0.4996  0.00
Tl2 0.2498 0.7498 0.5004  0.00
Tc1 0.5000 0.5000 0.0000  0.53
O1 0.1707 0.1707 0.6585  -0.06
O2 0.7285 0.7282 0.0000  -0.02
O3 0.2717 0.7284 0.0000  -0.02
O4 0.7283 0.2716 0.0000  -0.02
O5 0.2715 0.2718 0.0000  -0.02
O6 0.8293 0.8293 0.3415  -0.06

Output
Total DFT energy (no corrections) = -73.9 eV for the cell shown
Formation energy (no corrections) = -1.615 eV per atom
Space-group type = I4/mmm, No. 139
Total moment = 2.031 μB/f.u.

Record 12
Compound: Na2CaPuO6
Source: Alexandria via LeMat-Bulk
Functional: PBE
Structure: optimized geometry

abc: 5.7564 5.9347 8.2502
angles: 90.00 89.73 90.00
Positions (direct):
Na1 0.0102 0.9562 0.2550
Na2 0.5102 0.5438 0.7550
Na3 0.9898 0.0438 0.7450
Na4 0.4898 0.4562 0.2450
Ca1 0.5000 0.0000 0.0000
Ca2 0.0000 0.5000 0.5000
Pu1 0.5000 0.0000 0.5000
Pu2 0.0000 0.5000 0.0000
O1 0.2796 0.6797 0.0481
O2 0.7796 0.8203 0.5481
O3 0.7204 0.3203 0.9519
O4 0.2204 0.1797 0.4519
O5 0.3278 0.7252 0.4371
O6 0.8278 0.7748 0.9371
O7 0.6722 0.2748 0.5629
O8 0.1722 0.2252 0.0629
O9 0.8957 0.5479 0.2267
O10 0.3957 0.9521 0.7267
O11 0.1043 0.4521 0.7733
O12 0.6043 0.0479 0.2733

Output
Total DFT energy (no corrections) = -141.8 eV for the cell shown
Formation energy (no corrections) = -2.217 eV per atom
Space-group type = P2_1/c, No. 14
Total moment = 0.000 μB/f.u.

Record 13
Compound: RbYCo3
Source: Alexandria via LeMat-Bulk
Functional: PBE
Structure: optimized geometry

abc: 5.2446 5.2446 5.2446
angles: 90.00 90.00 90.00
Site moments in Bohr magnetons follow the coordinates.
Positions (direct):
Y1 0.0000 0.0000 0.0000  -0.33
Co1 0.0000 0.5000 0.0000  1.93
Co2 0.0000 0.0000 0.5000  1.85
Co3 0.5000 0.0000 0.0000  1.65
Rb1 0.5000 0.5000 0.5000  0.00

Output
Total DFT energy (no corrections) = -21.2 eV for the cell shown
Space-group type = Pm-3m, No. 221
Total moment = 5.021 μB/f.u.
Energy of formation = 1503.2 meV/atom
Energy above the lowest structure with this stoichiometry = 0 meV per atom

Record 14
Compound: ZnTcCl3
Source: Alexandria via LeMat-Bulk
Functional: PBE
Structure: optimized geometry

abc: 4.8621 4.8621 4.8621
angles: 90.00 90.00 90.00
Site moments in Bohr magnetons follow the coordinates.
Positions (direct):
Zn1 0.0000 0.0000 0.0000  -0.01
Tc1 0.5000 0.5000 0.5000  3.77
Cl1 0.0000 0.5000 0.0000  0.04
Cl2 0.0000 0.0000 0.5000  0.03
Cl3 0.5000 0.0000 0.0000  0.02

Output
Total DFT energy (no corrections) = -16.3 eV for the cell shown
Formation energy (no corrections) = 0.173 eV per atom
Space-group type = Pm-3m, No. 221
Total moment = 4.544 μB/f.u.
Energy above the lowest structure with this stoichiometry = 260 meV per atom

Record 15
Compound: MgAlTe2
Source: Alexandria via LeMat-Bulk
Functional: PBE
Structure: optimized geometry

abc: 4.1782 4.1782 7.2893
angles: 73.30 73.30 60.12
Positions (direct):
Al1 0.7500 0.7500 0.7500
Mg1 0.2500 0.2500 0.2500
Te1 0.0025 0.0025 0.9917
Te2 0.4975 0.4975 0.5083

Output
Total DFT energy (no corrections) = -13.6 eV for the cell shown
Formation energy (no corrections) = -0.484 eV per atom
Space-group type = C2/m, No. 12
Total moment = 0.000 μB/f.u.

Record 16
Compound: Y3HgC
Source: Alexandria via LeMat-Bulk
Functional: PBE
Structure: optimized geometry

abc: 8.3639 11.9275 5.1496
angles: 77.52 89.99 30.59
Positions (direct):
Y1 0.5235 0.7891 0.7464
Y2 0.8684 0.2913 0.9954
Y3 0.4482 0.1605 0.0606
Y4 0.1033 0.6584 0.8117
Y5 0.6966 0.1898 0.5461
Y6 0.2751 0.7598 0.2610
C1 0.6744 0.2115 0.0348
C2 0.2973 0.7381 0.7723
Hg1 0.1023 0.2804 0.5005
Hg2 0.8694 0.6693 0.3065

Output
Total DFT energy (no corrections) = -61.3 eV for the cell shown
Space-group type = P-1, No. 2
Total moment = 0.000 μB/f.u.
Energy of formation = -350.4 meV/atom
Energy above the lowest structure with this stoichiometry = 78 meV per atom

Record 17
Compound: TiTlBi2
Source: Alexandria via LeMat-Bulk
Functional: PBE
Structure: optimized geometry

abc: 3.8182 3.8182 9.4452
angles: 78.34 78.34 60.00
Positions (direct):
Ti1 0.6665 0.6665 0.0006
Tl1 0.5009 0.5009 0.4974
Bi1 0.0680 0.0680 0.7959
Bi2 0.2646 0.2646 0.2061

Output
Total DFT energy (no corrections) = -18.0 eV for the cell shown
Space-group type = R3m, No. 160
Total moment = 0.000 μB/f.u.
Energy of formation = 2.0 meV/atom
Energy above the lowest structure with this stoichiometry = 26 meV per atom

Record 18
Compound: Pm3Sm3Tm2
Source: Alexandria via LeMat-Bulk
Functional: PBE
Structure: optimized geometry

abc: 6.3237 8.5665 14.6275
angles: 90.00 90.00 137.62
Positions (direct):
Pm1 0.9167 0.7495 0.3759
Pm2 0.0833 0.2505 0.8759
Pm3 0.9167 0.7495 0.1241
Pm4 0.0833 0.2505 0.6241
Pm5 0.5869 0.2495 0.2500
Pm6 0.4131 0.7505 0.7500
Sm1 0.5826 0.2498 0.5006
Sm2 0.4174 0.7502 0.0006
Sm3 0.5826 0.2498 0.9994
Sm4 0.4174 0.7502 0.4994
Sm5 0.4225 0.7499 0.2500
Sm6 0.5775 0.2501 0.7500
Tm1 0.9143 0.7503 0.8745
Tm2 0.0857 0.2497 0.3745
Tm3 0.9143 0.7503 0.6255
Tm4 0.0857 0.2497 0.1255

Output
Total DFT energy (no corrections) = -74.3 eV for the cell shown
Space-group type = Pmmn, No. 59
Total moment = 0.000 μB/f.u.
Energy of formation = 25.6 meV/atom
Energy above the lowest structure with this stoichiometry = 0 meV per atom

Record 19
Compound: Pr5Nd2YEr
Source: Alexandria via LeMat-Bulk
Functional: PBE
Structure: optimized geometry

abc: 8.6617 8.6617 10.5036
angles: 114.35 114.35 90.00
Positions (direct):
Pr1 0.9245 0.4245 0.2873
Pr2 0.6373 0.1373 0.7127
Pr3 0.0755 0.5755 0.7127
Pr4 0.1373 0.0755 0.7127
Pr5 0.5755 0.6373 0.7127
Pr6 0.8627 0.9245 0.2873
Pr7 0.4245 0.3627 0.2873
Pr8 0.3627 0.8627 0.2873
Pr9 0.5000 0.5000 0.0000
Pr10 0.0000 0.0000 0.0000
Nd1 0.1224 0.3776 0.0000
Nd2 0.6224 0.1224 0.0000
Nd3 0.3776 0.8776 0.0000
Nd4 0.8776 0.6224 0.0000
Y1 0.2500 0.2500 0.5000
Y2 0.7500 0.7500 0.5000
Er1 0.2500 0.7500 0.5000
Er2 0.7500 0.2500 0.5000

Output
Total DFT energy (no corrections) = -84.0 eV for the cell shown
Space-group type = I4/mcm, No. 140
Total moment = 0.000 μB/f.u.
Energy of formation = 271.6 meV/atom

Record 20
Compound: LiLaF4
Source: Alexandria via LeMat-Bulk
Functional: PBE
Structure: optimized geometry

abc: 4.0643 4.0644 5.4373
angles: 80.55 80.55 88.23
Positions (direct):
Li1 0.0004 0.9965 0.4975
La1 0.5014 0.4974 0.9983
F1 0.4106 0.9379 0.2511
F2 0.5925 0.0569 0.7455
F3 0.0609 0.5885 0.7454
F4 0.9420 0.4066 0.2511

Output
Total DFT energy (no corrections) = -36.6 eV for the cell shown
Formation energy (no corrections) = -3.716 eV per atom
Space-group type = Cm, No. 8
Total moment = 0.000 μB/f.u.

Record 21
Compound: LaTa2Cu
Source: Alexandria via LeMat-Bulk
Functional: PBE
Structure: optimized geometry

abc: 6.2688 6.2688 6.2688
angles: 152.31 133.80 54.72
Positions (direct):
Cu1 0.7500 0.2500 0.5000
La1 0.2500 0.7500 0.5000
Ta1 0.9655 0.9655 0.0000
Ta2 0.5345 0.5345 0.0000

Output
Total DFT energy (no corrections) = -31.3 eV for the cell shown
Space-group type = Immm, No. 71
Total moment = 0.000 μB/f.u.
Energy of formation = 351.5 meV/atom
Energy above the lowest structure with this stoichiometry = 98 meV per atom

Record 22
Compound: Li4Y3AlS8
Source: Alexandria via LeMat-Bulk
Functional: PBE
Structure: optimized geometry

abc: 7.6498 7.5758 7.6492
angles: 120.34 120.00 90.00
Positions (direct):
Li1 0.5000 0.0000 0.0000
Li2 0.5000 0.0000 0.5000
Li3 0.0000 0.0000 0.0000
Li4 0.0000 0.0000 0.5000
Y1 0.5000 0.5000 0.0000
Y2 0.5000 0.5000 0.5000
Y3 0.0000 0.5000 0.5000
Al1 0.0000 0.5000 0.0000
S1 0.2349 0.7413 0.0066
S2 0.2351 0.7416 0.4702
S3 0.2487 0.2462 0.4974
S4 0.7717 0.7413 0.0066
S5 0.2283 0.2587 0.9934
S6 0.7513 0.7538 0.5026
S7 0.7649 0.2584 0.5298
S8 0.7651 0.2587 0.9934

Output
Total DFT energy (no corrections) = -90.2 eV for the cell shown
Formation energy (no corrections) = -1.647 eV per atom
Space-group type = R-3m, No. 166
Total moment = 0.000 μB/f.u.

Record 23
Compound: La2NdYEr2
Source: Alexandria via LeMat-Bulk
Functional: PBE
Structure: optimized geometry

abc: 5.7363 7.1463 9.9088
angles: 90.00 90.00 90.00
Positions (direct):
La1 0.5000 0.0076 0.9999
La2 0.0000 0.2575 0.1769
La3 0.5000 0.5076 0.0001
La4 0.0000 0.7575 0.8231
Nd1 0.5000 0.2577 0.6602
Nd2 0.5000 0.7577 0.3398
Y1 0.0000 0.0077 0.5001
Y2 0.0000 0.5077 0.4999
Er1 0.0000 0.2576 0.8342
Er2 0.5000 0.2576 0.3343
Er3 0.0000 0.7576 0.1658
Er4 0.5000 0.7576 0.6657

Output
Total DFT energy (no corrections) = -59.7 eV for the cell shown
Space-group type = Pmma, No. 51
Total moment = 0.001 μB/f.u.
Energy of formation = 62.8 meV/atom